Entry 1:
## TiTl2Cd (GGA-PBEsol)

Data for crystalline TiTl2Cd at its relaxed geometry.

**E_form**: 1.2 eV per formula unit
**Magnetic moment**: 1.70 Bohr magnetons per cell
**Density of states at the Fermi level**: 5.50 states/eV/f.u.
**Energy**: -3.388 eV/atom

Cell and atoms, written as POSCAR:
```
TiTl2Cd
1.0
-3.963 -2.854 -1.041
0.404 -3.726 -3.300
-0.140 -4.742 1.559
Tl Ti Cd
2 1 1
direct
0.250 0.250 0.250
0.750 0.750 0.750
0.000 0.000 0.000
0.500 0.500 0.500
```



Entry 2:
## TiZn2Cd2 (GGA-PBEsol)

Data for crystalline TiZn2Cd2 at its relaxed geometry.

**E_form**: 1.0 eV per formula unit
**Magnetic moment**: 0.02 Bohr magnetons per cell
**Density of states at the Fermi level**: 3.12 states/eV/f.u.
**Energy**: -2.569 eV/atom

Cell and atoms, written as POSCAR:
```
TiZn2Cd2
1.0
3.393 0.000 0.000
0.000 3.393 0.000
-1.697 -1.697 7.903
Zn Ti Cd
2 1 2
direct
0.250 0.750 0.500
0.750 0.250 0.500
0.000 0.000 0.000
0.394 0.394 0.789
0.606 0.606 0.211
```



The highest density of states at the Fermi level belongs to which entry? TiTl2Cd